Entry 1:
A relaxed structure of YSiNiIr, computed with PBE.

Lattice parameters (Å, degrees): 5.4796 5.4796 5.4796 138.33 136.63 61.71
Fractional positions:
Y1 0.0000 0.0000 0.0000
Si1 0.7548 0.2548 0.5000
Ni1 0.3600 0.3600 0.0000
Ir1 0.6228 0.6228 0.0000

---

Entry 2:
A relaxed structure of Y2Si3NiIr4, computed with PBE.

Lattice parameters (Å, degrees): 4.0952 4.0952 9.9944 90.00 90.00 90.00
Fractional positions:
Y1 0.0000 0.5000 0.2468
Y2 0.5000 0.0000 0.7532
Si1 0.0000 0.0000 0.0000
Si2 0.0000 0.5000 0.6301
Si3 0.5000 0.0000 0.3699
Ni1 0.5000 0.5000 0.0000
Ir1 0.0000 0.0000 0.5000
Ir2 0.0000 0.5000 0.8663
Ir3 0.5000 0.0000 0.1337
Ir4 0.5000 0.5000 0.5000

---

Entry 3:
A relaxed structure of Y2Si3Ni12Ir, computed with PBE.

Lattice parameters (Å, degrees): 6.2764 6.2764 6.2764 85.25 85.25 85.25
Fractional positions:
Y1 0.1893 0.1893 0.1893
Y2 0.8107 0.8107 0.8107
Si1 0.0000 0.5000 0.5000
Si2 0.5000 0.0000 0.5000
Si3 0.5000 0.5000 0.0000
Ni1 0.1040 0.1040 0.6158
Ni2 0.1040 0.6158 0.1040
Ni3 0.2011 0.6925 0.6925
Ni4 0.3075 0.3075 0.7989
Ni5 0.3075 0.7989 0.3075
Ni6 0.3842 0.8960 0.8960
Ni7 0.6158 0.1040 0.1040
Ni8 0.6925 0.2011 0.6925
Ni9 0.6925 0.6925 0.2011
Ni10 0.7989 0.3075 0.3075
Ni11 0.8960 0.3842 0.8960
Ni12 0.8960 0.8960 0.3842
Ir1 0.5000 0.5000 0.5000

---

Entry 4:
A relaxed structure of ZnSiNiIr, computed with PBE.

Lattice parameters (Å, degrees): 4.1593 4.1593 4.1593 60.00 60.00 60.00
Fractional positions:
Zn1 0.0000 0.0000 0.0000
Si1 0.5000 0.5000 0.5000
Ni1 0.7500 0.7500 0.7500
Ir1 0.2500 0.2500 0.2500

---

Entry 5:
A relaxed structure of Zn2SiNiIr, computed with PBE.

Lattice parameters (Å, degrees): 4.5034 4.5034 4.4171 90.00 90.00 90.00
Fractional positions:
Zn1 0.0000 0.5000 0.0000
Zn2 0.5000 0.0000 0.0000
Si1 0.0000 0.0000 0.0000
Ni1 0.5000 0.5000 0.5000
Ir1 0.0000 0.0000 0.5000

---

Entry 6:
A relaxed structure of Zr2Si4Ni3Ir, computed with PBE.

Lattice parameters (Å, degrees): 3.8679 3.8679 9.5340 90.00 90.00 90.00
Fractional positions:
Zr1 0.0000 0.5000 0.2409
Zr2 0.5000 0.0000 0.7591
Si1 0.0000 0.0000 0.0000
Si2 0.0000 0.5000 0.6442
Si3 0.5000 0.0000 0.3558
Si4 0.5000 0.5000 0.0000
Ni1 0.0000 0.5000 0.8766
Ni2 0.5000 0.0000 0.1234
Ni3 0.5000 0.5000 0.5000
Ir1 0.0000 0.0000 0.5000

---

Energy relative to the elements, uncorrected: -558; -936; -49; -357; 802; -841 (meV/atom)